w | A relaxed Ta5Fe3 crystal, computed with GGA-PBEsol.

Cell lengths 9.713, 9.713, 5.036 Å; angles 90.00, 90.00, 90.00 degrees
Space group I4/mcm (No. 140)
Symmetry-distinct sites (fractional):
1 Ta 0.000 0.500 0.250 x4
2 Ta 0.077 0.215 0.000 x16
3 Fe 0.000 0.000 0.250 x4
4 Fe 0.172 0.328 0.500 x8

Magnetic moment (μB/cell): 0.01
Theoretical density (Mg/m³): 14.990



x | A relaxed Ta5Fe3 crystal, computed with GGA-PBEsol.

Cell lengths 6.207, 8.722, 4.351 Å; angles 90.00, 90.00, 90.00 degrees
Space group Cmmm (No. 65)
Symmetry-distinct sites (fractional):
1 Ta 0.000 0.000 0.000 x2
2 Ta 0.241 0.500 0.500 x4
3 Ta 0.250 0.250 0.000 x4
4 Fe 0.000 0.253 0.500 x4
5 Fe 0.000 0.500 0.000 x2

Magnetic moment (μB/cell): 2.47
Theoretical density (Mg/m³): 15.119



Which of them is the most stable? Correct choice: w.



w | A relaxed Ta4Fe3 crystal, computed with GGA-PBEsol.

Cell lengths 4.8317, 4.8317, 5.0038 Å; angles 90.00, 90.00, 120.00 degrees
Space group P6/mmm (No. 191)
Symmetry-distinct sites (fractional):
1 Ta 0.0000 0.0000 0.2490 x2
2 Ta 0.3333 0.6667 0.5000 x2
3 Fe 0.0000 0.5000 0.0000 x3

Magnetic moment (μB/cell): 3.83
Theoretical density (Mg/m³): 14.631



x | A relaxed Ta4Fe3 crystal, computed with GGA-PBEsol.

Cell lengths 3.074, 3.074, 21.654 Å; angles 90.00, 90.00, 90.00 degrees
Space group I4/mmm (No. 139)
Symmetry-distinct sites (fractional):
1 Ta 0.000 0.000 0.069 x4
2 Ta 0.000 0.000 0.346 x4
3 Fe 0.000 0.000 0.218 x4
4 Fe 0.000 0.000 0.500 x2

Magnetic moment (μB/cell): 7.21
Theoretical density (Mg/m³): 14.465



Which of them is the most stable? Correct choice: w.



w | A relaxed TaFe4W crystal, computed with GGA-PBEsol.

Cell lengths 4.6547, 4.6547, 7.6916 Å; angles 90.00, 90.00, 120.00 degrees
Space group P-3m1 (No. 164)
Symmetry-distinct sites (fractional):
1 Ta 0.3333 0.6667 0.4294 x2
2 Fe 0.0000 0.0000 0.0000 x1
3 Fe 0.0000 0.0000 0.5000 x1
4 Fe 0.1707 0.3413 0.7523 x6
5 W 0.3333 0.6667 0.0634 x2

Magnetic moment (μB/cell): 3.31
Theoretical density (Mg/m³): 13.535



x | A relaxed TaFe4W crystal, computed with GGA-PBEsol.

Cell lengths 6.627, 6.627, 6.627 Å; angles 90.00, 90.00, 90.00 degrees
Space group F-43m (No. 216)
Symmetry-distinct sites (fractional):
1 Ta 0.000 0.000 0.000 x4
2 Fe 0.125 0.125 0.375 x16
3 W 0.250 0.250 0.750 x4

Magnetic moment (μB/cell): 15.32
Theoretical density (Mg/m³): 13.422



Which of them is the most stable? Correct choice: w.



w | A relaxed Tl2FeTe crystal, computed with GGA-PBEsol.

Cell lengths 4.224, 4.224, 5.468 Å; angles 90.00, 90.00, 90.00 degrees
Space group P4/mmm (No. 123)
Symmetry-distinct sites (fractional):
1 Tl 0.000 0.500 0.000 x2
2 Fe 0.000 0.000 0.500 x1
3 Te 0.500 0.500 0.500 x1

Magnetic moment (μB/cell): 3.05
Theoretical density (Mg/m³): 10.079



x | A relaxed Tl2FeTe crystal, computed with GGA-PBEsol.

Cell lengths 7.268, 7.268, 7.268 Å; angles 90.00, 90.00, 90.00 degrees
Space group F-43m (No. 216)
Symmetry-distinct sites (fractional):
1 Tl 0.000 0.000 0.000 x4
2 Tl 0.250 0.250 0.250 x4
3 Fe 0.000 0.000 0.500 x4
4 Te 0.250 0.250 0.750 x4

Magnetic moment (μB/cell): 10.78
Theoretical density (Mg/m³): 10.247



y | A relaxed Tl2FeTe crystal, computed with GGA-PBEsol.

Cell lengths 3.222, 4.182, 14.595 Å; angles 90.00, 90.00, 90.00 degrees
Space group Immm (No. 71)
Symmetry-distinct sites (fractional):
1 Tl 0.000 0.000 0.178 x4
2 Fe 0.000 0.500 0.500 x2
3 Te 0.000 0.500 0.000 x2

Magnetic moment (μB/cell): 4.60
Theoretical density (Mg/m³): 10.001



z | A relaxed Tl2FeTe crystal, computed with GGA-PBEsol.

Cell lengths 6.258, 9.755, 3.166 Å; angles 90.00, 90.00, 90.00 degrees
Space group Cmmm (No. 65)
Symmetry-distinct sites (fractional):
1 Tl 0.250 0.250 0.000 x4
2 Fe 0.000 0.000 0.500 x2
3 Te 0.000 0.500 0.500 x2

Magnetic moment (μB/cell): 6.09
Theoretical density (Mg/m³): 10.175



Which of them is the most stable? Correct choice: y.



w | A relaxed ZnFe2Te crystal, computed with GGA-PBEsol.

Cell lengths 6.183, 6.183, 6.183 Å; angles 90.00, 90.00, 90.00 degrees
Space group F-43m (No. 216)
Symmetry-distinct sites (fractional):
1 Zn 0.000 0.000 0.000 x4
2 Fe 0.000 0.000 0.500 x4
3 Fe 0.250 0.250 0.250 x4
4 Te 0.250 0.250 0.750 x4

Magnetic moment (μB/cell): 17.22
Theoretical density (Mg/m³): 8.564



x | A relaxed ZnFe2Te crystal, computed with GGA-PBEsol.

Cell lengths 3.0722, 3.0722, 23.8483 Å; angles 90.00, 90.00, 120.00 degrees
Space group R3m (No. 160, hexagonal axes)
Symmetry-distinct sites (fractional):
1 Zn 0.0000 0.0000 0.0000 x3
2 Fe 0.0000 0.0000 0.4757 x3
3 Fe 0.0000 0.0000 0.7432 x3
4 Te 0.0000 0.0000 0.2219 x3

Magnetic moment (μB/cell): 13.12
Theoretical density (Mg/m³): 7.787



Which of them is the most stable? Correct choice: x.



w | A relaxed TlFeW2 crystal, computed with GGA-PBEsol.

Cell lengths 4.007, 4.007, 7.839 Å; angles 90.00, 90.00, 90.00 degrees
Space group I-4m2 (No. 119)
Symmetry-distinct sites (fractional):
1 Tl 0.000 0.000 0.000 x2
2 Fe 0.000 0.500 0.750 x2
3 W 0.000 0.000 0.500 x2
4 W 0.000 0.500 0.250 x2

Magnetic moment (μB/cell): 4.20
Theoretical density (Mg/m³): 16.566



x | A relaxed TlFeW2 crystal, computed with GGA-PBEsol.

Cell lengths 3.234, 4.318, 9.020 Å; angles 90.00, 90.00, 90.00 degrees
Space group Immm (No. 71)
Symmetry-distinct sites (fractional):
1 Tl 0.000 0.000 0.000 x2
2 Fe 0.000 0.000 0.500 x2
3 W 0.000 0.500 0.235 x4

Magnetic moment (μB/cell): 4.23
Theoretical density (Mg/m³): 16.556



Which of them is the most stable? Correct choice: x.